FeCI2O | PBE with a Hubbard U | optimized geometry

The value obtained for the energy above the most stable polymorph in this dataset is 0.000 eV/atom. The calculation puts the magnetization at 4.04 μB per formula unit.

The structure belongs to space group P4/mmm (No. 123); the cell edges are 5.218, 5.218 and 3.518 Å and the angles 90.00°, 90.00° and 90.00°. The inequivalent atoms are Fe at (0.000, 0.000, 0.000), C at (0.500, 0.500, 0.500), I at (0.000, 0.500, 0.500) and O at (0.500, 0.500, 0.000).